1.
CuNi2Br6: relaxed, PBE.

Space group: C2/m, No. 12
Formation energy (no corrections): -0.30 eV/atom

The structure in POSCAR format:
```
CuNi2Br6
1.0
-3.206 -0.635 1.559
1.836 -6.516 -3.084
4.210 1.298 9.188
Cu Ni Br
1 2 6
Direct
0.000 0.000 0.500
0.662 0.325 0.839
0.338 0.675 0.161
0.294 0.588 0.889
0.706 0.412 0.111
0.965 0.931 0.200
0.631 0.262 0.571
0.035 0.069 0.800
0.369 0.738 0.429
```

***

2.
NaSrRh: relaxed, PBE.

ΔE to the lowest computed polymorph: 89 meV per atom
Space group: C2/m, No. 12
Energy of formation from the pure elements: -0.04 eV/atom

The structure in POSCAR format:
```
NaSrRh
1.0
4.558 0.000 0.000
0.000 5.542 -0.094
-2.279 -1.292 7.448
Rh Na Sr
2 2 2
Direct
0.764 0.090 0.527
0.236 0.910 0.473
0.585 0.800 0.171
0.415 0.200 0.829
0.851 0.658 0.702
0.149 0.342 0.298
```

***

3.
AgAs2Se: relaxed, PBE.

Space group: P4/mmm, No. 123
Formation energy (no corrections): 0.29 eV/atom

The structure in POSCAR format:
```
AgAs2Se
1.0
-0.528 2.235 1.518
-0.317 -1.587 2.227
11.245 1.057 2.357
As Se Ag
2 1 1
Direct
0.000 0.000 0.949
0.000 0.000 0.551
0.500 0.500 0.250
0.500 0.500 0.750
```

***

4.
Er6MgCd2: relaxed, PBE.

Space group: P2_1/c, No. 14
Energy of formation from the pure elements: -0.01 eV/atom

The structure in POSCAR format:
```
Er6MgCd2
1.0
-5.846 1.814 1.158
-2.819 -8.826 -0.402
-0.131 -0.372 9.081
Er Mg Cd
12 2 4
Direct
0.878 0.960 0.185
0.898 0.662 0.542
0.934 0.691 0.929
0.566 0.191 0.571
0.602 0.162 0.958
0.622 0.460 0.315
0.122 0.040 0.815
0.102 0.338 0.458
0.066 0.309 0.071
0.434 0.809 0.429
0.398 0.838 0.042
0.378 0.540 0.685
0.500 0.500 0.000
0.000 0.000 0.500
0.880 0.390 0.773
0.620 0.890 0.727
0.380 0.110 0.273
0.120 0.610 0.227
```

***

Number 1: D(E_F) 0.72 states/eV per atom. Number 2: D(E_F) 0.58 states/eV per atom. Number 3: D(E_F) 0.68 states/eV per atom. Number 4: D(E_F) 1.07 states/eV per atom.